Record 1
{
  "formula": "Ca2Cu3Ge4Pd",
  "functional": "GGA-PBE",
  "state": "relaxed",
  "lattice": [[-1.347, -3.623, -1.747], [3.326, 0.033, -2.632], [5.398, -5.264, 6.756]],
  "species": ["Ca", "Ca", "Cu", "Cu", "Cu", "Ge", "Ge", "Ge", "Ge", "Pd"],
  "fractional_positions": [[0.500, 0.000, 0.252], [0.000, 0.500, 0.748], [0.000, 0.000, 0.500], [0.500, 0.000, 0.870], [0.000, 0.500, 0.130], [0.500, 0.500, 0.000], [0.000, 0.000, 0.000], [0.500, 0.000, 0.632], [0.000, 0.500, 0.368], [0.500, 0.500, 0.500]],
  "magnetic_moment_mub_per_cell": 0.000,
  "dft_energy_ev_per_atom": -4.42,
  "dos_ef_per_ev_fu": 3.84,
  "space_group": "No. 115",
  "e_form_ev_per_atom": -0.4271
}



Record 2
{
  "formula": "TaGa2Re",
  "functional": "GGA-PBE",
  "state": "relaxed",
  "lattice": [[7.061, 0.000, 0.000], [0.000, 7.061, 0.000], [3.530, 3.530, 2.731]],
  "species": ["Re", "Re", "Ga", "Ga", "Ga", "Ga", "Ta", "Ta"],
  "fractional_positions": [[0.000, 0.000, 0.000], [0.750, 0.250, 0.500], [0.639, 0.125, 0.250], [0.111, 0.625, 0.250], [0.375, 0.361, 0.750], [0.875, 0.889, 0.750], [0.500, 0.500, 0.000], [0.250, 0.750, 0.500]],
  "magnetic_moment_mub_per_cell": 0.000,
  "e_above_lowest_polymorph_kj_per_mol_atoms": 30.3,
  "dft_energy_ev_per_atom": -7.12,
  "dos_ef_per_ev_fu": 3.87,
  "space_group": "No. 122",
  "e_form_ev_per_atom": 0.4711
}



Record 3
{
  "formula": "Pm7PtCl12",
  "functional": "GGA-PBE",
  "state": "relaxed",
  "lattice": [[-2.060, 3.352, -8.308], [-3.737, -8.373, 0.646], [-4.051, 5.366, 6.268]],
  "species": ["Pm", "Pm", "Pm", "Pm", "Pm", "Pm", "Pm", "Pt", "Cl", "Cl", "Cl", "Cl", "Cl", "Cl", "Cl", "Cl", "Cl", "Cl", "Cl", "Cl"],
  "fractional_positions": [[0.972, 0.672, 0.878], [0.328, 0.122, 0.028], [0.122, 0.028, 0.328], [0.500, 0.500, 0.500], [0.878, 0.972, 0.672], [0.672, 0.878, 0.972], [0.028, 0.328, 0.122], [0.000, 0.000, 0.000], [0.919, 0.313, 0.791], [0.687, 0.209, 0.081], [0.472, 0.169, 0.381], [0.831, 0.619, 0.528], [0.209, 0.081, 0.687], [0.619, 0.528, 0.831], [0.381, 0.472, 0.169], [0.791, 0.919, 0.313], [0.169, 0.381, 0.472], [0.528, 0.831, 0.619], [0.313, 0.791, 0.919], [0.081, 0.687, 0.209]],
  "magnetic_moment_mub_per_cell": 1.073,
  "dft_energy_ev_per_atom": -5.02,
  "dos_ef_per_ev_fu": 5.18,
  "space_group": "No. 148",
  "e_form_raw_ev_per_atom": -1.951
}